A plane-wave DFT calculation with PBE+U was carried out for a relaxed structure of BaCoSO.

It has space group Pca2_1 (No. 29), with a = 7.0828 Å, b = 7.4586 Å, c = 6.5759 Å, α = 90.00°, β = 90.00° and γ = 90.00°. The asymmetric unit holds Ba at (0.0882, 0.1678, 0.0000), Co at (0.0563, 0.6360, 0.0629), S at (0.1582, 0.5580, 0.7355) and O at (0.0567, 0.1350, 0.5964).

The mass density comes out at 4672 kg/m3. The final energy comes out at -5.485 eV/atom. As for the crystal system: orthorhombic. The calculation puts the magnetization at 3.0 μB per formula unit. The calculated volume is 347 Å³ per cell.